First-principles (GGA-PBE) data for a relaxed structure of Rb2NaCoI6, as listed in Alexandria.

Unit cell a=8.2066 b=8.2066 c=8.2066 alpha=60.00 beta=60.00 gamma=60.00
Closest atoms and distances in Å follow each position.
Fractional positions:
Rb1 0.2500 0.2500 0.2500  12 I 4.11
Rb2 0.7500 0.7500 0.7500  12 I 4.11
Na1 0.0000 0.0000 0.0000  6 I 3.16
Co1 0.5000 0.5000 0.5000  6 I 2.64
I1 0.2722 0.2722 0.7278  1 Co 2.64
I2 0.2722 0.7278 0.2722  1 Co 2.64
I3 0.2722 0.7278 0.7278  1 Co 2.64
I4 0.7278 0.2722 0.2722  1 Co 2.64
I5 0.7278 0.2722 0.7278  1 Co 2.64
I6 0.7278 0.7278 0.2722  1 Co 2.64

Results
Its spin magnetization is 0.00 μB per cell. As for the density of states at the Fermi level: 0.0000 states/eV/atom. As for the crystal system: cubic. The value obtained for the formation energy (no corrections) is -761 kJ/mol of formula units.